Entry 1:
Tm2PtS: relaxed, PBE.

a b c (Å): 3.8847 3.8847 20.9536
angles (deg): 90.00 90.00 120.00
Closest atoms and distances in Å follow each position.
Space group R3m (No. 160, hexagonal axes)
Unique sites:
Tm 0.0000 0.0000 0.0000 (multiplicity 3)  3 Pt 2.77, 3 S 2.94
Tm 0.0000 0.0000 0.1778 (multiplicity 3)  3 Pt 2.77, 3 S 2.89
Pt 0.0000 0.0000 0.5887 (multiplicity 3)  6 Tm 2.77
S 0.0000 0.0000 0.7574 (multiplicity 3)  6 Tm 2.89-2.94

## Properties
E above lowest polymorph: 140 meV per atom
Magnetic moment: 0.0 μB/cell

***

Entry 2:
TbEu2Cu: relaxed, PBE.

a b c (Å): 3.6486 3.6486 33.4812
angles (deg): 90.00 90.00 120.00
Closest atoms and distances in Å follow each position.
Space group R-3m (No. 166, hexagonal axes)
Unique sites:
Tb 0.0000 0.0000 0.0000 (multiplicity 3)  2 Eu 3.47, 6 Tb 3.65
Eu 0.0000 0.0000 0.1037 (multiplicity 6)  3 Cu 2.98
Cu 0.0000 0.0000 0.5000 (multiplicity 3)  6 Eu 2.98

## Properties
E above lowest polymorph: 241 meV per atom
Magnetic moment: 46.0 μB/cell
E_form: 273 meV per atom

***

Entry 3:
PmPr2Mn: relaxed, PBE.

a b c (Å): 3.6676 3.6676 9.0250
angles (deg): 90.00 90.00 90.00
Closest atoms and distances in Å follow each position.
Space group P4/mmm (No. 123)
Unique sites:
Pm 0.0000 0.0000 0.0000 (multiplicity 1)  4 Pm 3.67, 8 Pr 3.70
Pr 0.5000 0.5000 0.2927 (multiplicity 2)  4 Mn 3.20
Mn 0.0000 0.0000 0.5000 (multiplicity 1)  8 Pr 3.20

## Properties
E above lowest polymorph: 0 meV per atom
Magnetic moment: 3.7 μB/cell
E_form: 186 meV per atom

***

Entry 4:
MoIrOs4Ru2: relaxed, PBE.

a b c (Å): 5.4674 7.2294 7.2309
angles (deg): 64.62 67.82 67.82
Closest atoms and distances in Å follow each position.
Space group P1 (No. 1)
Unique sites:
Mo 0.0000 0.0000 0.0000 (multiplicity 1)  2 Ru 2.70-2.76, 6 Os 2.70-2.79, 3 Ir 2.71-2.76, 1 Mo 2.83
Mo 0.3856 0.1357 0.6122 (multiplicity 1)  4 Ru 2.68-2.74, 6 Os 2.69-2.80, 1 Ir 2.76, 1 Mo 2.83
Ir 0.3789 0.6301 0.1181 (multiplicity 1)  1 Mo 2.71, 6 Os 2.73-2.78, 4 Ru 2.73-2.77, 1 Ir 2.74
Ir 0.5036 0.0061 0.9945 (multiplicity 1)  6 Os 2.71-2.77, 3 Mo 2.71-2.76, 1 Ir 2.74, 2 Ru 2.74-2.76
Os 0.1283 0.3838 0.8678 (multiplicity 1)  6 Os 2.69-2.75, 3 Ru 2.70-2.72, 1 Ir 2.75, 2 Mo 2.75-2.79
Os 0.1284 0.8831 0.3725 (multiplicity 1)  6 Os 2.68-2.75, 3 Ru 2.69-2.77, 1 Mo 2.74, 2 Ir 2.74-2.77
Os 0.2545 0.2511 0.2453 (multiplicity 1)  6 Os 2.68-2.77, 3 Ru 2.70-2.75, 1 Mo 2.71, 2 Ir 2.71-2.75
Os 0.2561 0.7507 0.7439 (multiplicity 1)  6 Os 2.69-2.75, 3 Ru 2.70-2.75, 1 Ir 2.73, 2 Mo 2.76-2.80
Os 0.6258 0.8820 0.3716 (multiplicity 1)  6 Os 2.70-2.75, 2 Mo 2.70-2.71, 1 Ir 2.74, 3 Ru 2.74-2.77
Os 0.6329 0.3815 0.8663 (multiplicity 1)  3 Ru 2.69-2.74, 6 Os 2.71-2.77, 2 Ir 2.74, 1 Mo 2.75
Os 0.7591 0.7520 0.7423 (multiplicity 1)  6 Os 2.69-2.75, 3 Ru 2.70-2.75, 2 Ir 2.75-2.77, 1 Mo 2.77
Os 0.7622 0.2494 0.2448 (multiplicity 1)  6 Os 2.68-2.77, 2 Mo 2.69-2.70, 3 Ru 2.71-2.77, 1 Ir 2.78
Ru 0.0037 0.5020 0.4983 (multiplicity 1)  6 Os 2.69-2.77, 1 Mo 2.70, 4 Ru 2.70-2.77, 1 Ir 2.76
Ru 0.5070 0.5029 0.4977 (multiplicity 1)  1 Mo 2.68, 6 Os 2.70-2.77, 4 Ru 2.71-2.75, 1 Ir 2.77
Ru 0.8798 0.6296 0.1175 (multiplicity 1)  1 Mo 2.70, 6 Os 2.71-2.77, 3 Ir 2.73-2.74, 2 Ru 2.75-2.77
Ru 0.8839 0.1302 0.6172 (multiplicity 1)  6 Os 2.69-2.75, 2 Ru 2.70-2.72, 3 Mo 2.72-2.76, 1 Ir 2.76

## Properties
Magnetic moment: 0.0 μB/cell
E_form: 53 meV per atom